Density functional theory data (GGA-PBE) for a relaxed SbRh crystal.

Unit cell a=3.7878 b=3.7878 c=3.1988 alpha=90.00 beta=90.00 gamma=120.00
Space group P-6m2 (No. 187)
Unique sites:
Sb (0.0000, 0.0000, 0.0000) x1
Rh (0.3333, 0.6667, 0.5000) x1

Density: 9386 kg/m3
Raw total energy: -11.9 eV for the cell shown